Record 1
A relaxed structure of SmGd2Ho, computed with PBE-GGA.

Cell lengths 11.867, 11.867, 11.867 Å; angles 17.34, 17.34, 17.34 degrees
Positions (direct):
Sm (0.000, 0.000, 0.000)
Gd (0.249, 0.249, 0.249)
Gd (0.751, 0.751, 0.751)
Ho (0.500, 0.500, 0.500)

Calculated formation energy: 24 meV per atom
Distance to the lowest polymorph of the same formula: 1.3 meV per atom
Density of states at the Fermi level: 6.7 states/eV/f.u.

---

Record 2
A relaxed structure of AcTlSn, computed with PBE-GGA.

Cell lengths 4.890, 4.890, 4.855 Å; angles 90.00, 90.00, 120.00 degrees
Positions (direct):
Ac (0.000, 0.000, 0.000)
Tl (0.667, 0.333, 0.374)
Sn (0.333, 0.667, 0.600)

Calculated formation energy: -475 meV per atom
Distance to the lowest polymorph of the same formula: 0.0 meV per atom
Density of states at the Fermi level: 0.6 states/eV/f.u.

---

Record 3
A relaxed structure of ErMoRu2, computed with PBE-GGA.

Cell lengths 4.627, 4.627, 3.136 Å; angles 90.00, 90.00, 90.00 degrees
Positions (direct):
Er (0.000, 0.000, 0.000)
Mo (0.500, 0.500, 0.000)
Ru (0.000, 0.500, 0.500)
Ru (0.500, 0.000, 0.500)

Calculated formation energy: -18 meV per atom
Distance to the lowest polymorph of the same formula: 75.8 meV per atom
Density of states at the Fermi level: 4.2 states/eV/f.u.

---

> Which value of calculated formation energy does entry 1 give?

24 meV per atom

---

> Look up the density of states at the Fermi level of the second one.

0.6 states/eV/f.u.

---

Please write out number 1 again, unchanged.
A relaxed structure of SmGd2Ho, computed with PBE-GGA.

Cell lengths 11.867, 11.867, 11.867 Å; angles 17.34, 17.34, 17.34 degrees
Positions (direct):
Sm (0.000, 0.000, 0.000)
Gd (0.249, 0.249, 0.249)
Gd (0.751, 0.751, 0.751)
Ho (0.500, 0.500, 0.500)

Calculated formation energy: 24 meV per atom
Distance to the lowest polymorph of the same formula: 1.3 meV per atom
Density of states at the Fermi level: 6.7 states/eV/f.u.